No. 1
A plane-wave DFT calculation with GGA-PBE was carried out for LiLa6N5 after structural relaxation.

Calculated values
Raw formation energy = -11.473 eV/f.u.
ρ = 6.5 g cm⁻³
Total magnetic moment = 2.012 μB/cell
Uncorrected energy = -7.048 eV/atom
Calculated volume = 19.5 Å³/atom

Lattice parameters (Å, degrees): 6.5150 6.5150 12.7313 90.00 90.00 120.00
Space group P6_3/mcm (No. 193)
Symmetry-distinct sites (fractional):
Li  0.0000  0.0000  0.2500
La  0.0000  0.3760  0.1238
N  0.0000  0.3107  0.7500
N  0.3333  0.6667  0.0000



No. 2
A plane-wave DFT calculation with GGA-PBE was carried out for NaTa2BeCd after structural relaxation.

Calculated values
ρ = 8.7 g cm⁻³
Total magnetic moment = 0.000 μB/cell
Uncorrected energy = -4.999 eV/atom
Calculated volume = 19.2 Å³/atom

Lattice parameters (Å, degrees): 4.479 4.479 4.792 90.00 90.00 90.00
Space group P4/mmm (No. 123)
Symmetry-distinct sites (fractional):
Na  0.000  0.000  0.000
Ta  0.000  0.500  0.500
Be  0.000  0.000  0.500
Cd  0.500  0.500  0.000



No. 3
A plane-wave DFT calculation with GGA-PBE was carried out for ZrGaTcIr after structural relaxation.

Calculated values
ρ = 11.6 g cm⁻³
Total magnetic moment = 0.001 μB/cell
Uncorrected energy = -8.180 eV/atom
Calculated volume = 16.1 Å³/atom

Lattice parameters (Å, degrees): 6.367 6.367 6.367 90.00 90.00 90.00
Space group F-43m (No. 216)
Symmetry-distinct sites (fractional):
Zr  0.000  0.000  0.000
Ga  0.000  0.000  0.500
Tc  0.250  0.250  0.750
Ir  0.250  0.250  0.250